1.
The following is a GGA-PBE calculation of YOsCl after structural relaxation, from Alexandria.

Geometry as POSCAR:
```
YOsCl
1.0
0.000 3.395 3.395
3.395 0.000 3.395
3.395 3.395 0.000
Y Os Cl
1 1 1
direct
0.000 0.000 0.000
0.750 0.750 0.750
0.250 0.250 0.250
```

**DOS at the Fermi energy**: 1.142 states/eV per atom
**Polymorph energy (0 for the lowest one)**: 0.5775 eV per atom
**E_form (uncorrected)**: 149 kJ/mol of formula units

***

2.
The following is a GGA-PBE calculation of Li6La2Pd9 after structural relaxation, from Alexandria.

Geometry as POSCAR:
```
Li6La2Pd9
1.0
5.527 0.000 0.000
-2.763 4.786 0.000
0.000 0.000 11.967
Li La Pd
6 2 9
direct
0.333 0.667 0.000
0.333 0.667 0.340
0.333 0.667 0.660
0.667 0.333 0.000
0.667 0.333 0.340
0.667 0.333 0.660
0.000 0.000 0.306
0.000 0.000 0.694
0.000 0.500 0.179
0.000 0.500 0.500
0.000 0.500 0.821
0.500 0.000 0.179
0.500 0.000 0.500
0.500 0.000 0.821
0.500 0.500 0.179
0.500 0.500 0.500
0.500 0.500 0.821
```

**DOS at the Fermi energy**: 0.391 states/eV per atom
**E_form**: -0.46 eV per atom

***

3.
The following is a GGA-PBE calculation of Tl4Hg8Au after structural relaxation, from Alexandria.

Geometry as POSCAR:
```
Tl4Hg8Au
1.0
4.317 0.000 0.000
0.000 4.779 0.000
0.000 0.000 18.067
Tl Hg Au
4 8 1
direct
0.000 0.000 0.000
0.000 0.500 0.457
0.500 0.000 0.767
0.500 0.500 0.293
0.000 0.000 0.305
0.000 0.000 0.608
0.000 0.500 0.147
0.000 0.500 0.867
0.500 0.000 0.150
0.500 0.000 0.461
0.500 0.500 0.000
0.500 0.500 0.600
0.000 0.500 0.712
```

**DOS at the Fermi energy**: 0.337 states/eV per atom
**E_form**: 0.00 eV per atom

***

4.
The following is a GGA-PBE calculation of TaRe2Au after structural relaxation, from Alexandria.

Geometry as POSCAR:
```
TaRe2Au
1.0
1.422 0.821 9.455
-1.422 0.821 9.455
0.000 -1.642 9.455
Ta Re Au
1 2 1
direct
0.000 0.000 0.000
0.493 0.493 0.493
0.753 0.753 0.753
0.247 0.247 0.247
```

**DOS at the Fermi energy**: 1.205 states/eV per atom
**Polymorph energy (0 for the lowest one)**: 0.0904 eV per atom
**E_form**: 0.16 eV per atom

***

5.
The following is a GGA-PBE calculation of K2Sb2Te3 after structural relaxation, from Alexandria.

Geometry as POSCAR:
```
K2Sb2Te3
1.0
4.376 0.000 0.000
2.184 7.654 0.000
0.021 1.589 8.271
K Sb Te
2 2 3
direct
0.117 0.265 0.380
0.883 0.735 0.620
0.379 0.742 0.130
0.621 0.258 0.870
0.000 0.500 0.000
0.236 0.029 0.780
0.764 0.971 0.220
```

**DOS at the Fermi energy**: 0.189 states/eV per atom
**E_form (uncorrected)**: -255 kJ/mol of formula units

***

6.
The following is a GGA-PBE calculation of Pm2Ho5Tm3 after structural relaxation, from Alexandria.

Geometry as POSCAR:
```
Pm2Ho5Tm3
1.0
5.425 -7.156 0.000
5.425 7.156 0.000
-4.577 0.000 8.485
Pm Ho Tm
4 10 6
direct
0.044 0.294 0.045
0.294 0.044 0.545
0.706 0.956 0.455
0.956 0.706 0.955
0.035 0.965 0.750
0.082 0.326 0.681
0.252 0.748 0.750
0.326 0.082 0.181
0.500 0.500 0.250
0.500 0.500 0.750
0.674 0.918 0.819
0.748 0.252 0.250
0.918 0.674 0.319
0.965 0.035 0.250
0.200 0.457 0.422
0.273 0.727 0.250
0.457 0.200 0.922
0.543 0.800 0.078
0.727 0.273 0.750
0.800 0.543 0.578
```

**DOS at the Fermi energy**: 1.699 states/eV per atom
**Polymorph energy (0 for the lowest one)**: 0.0000 eV per atom
**E_form**: 0.22 eV per atom